This record from Alexandria via LeMat-Bulk describes a relaxed LiP2Au2 crystal. The functional is PBEsol.

Formation energy from the elements in eV/f.u.: -0.01
SG: I4/mmm, No. 139

abc: 5.4500 5.4500 5.4500
angles: 128.94 128.94 75.10
Closest atoms and distances in Å follow each position.
Atoms (fractional coordinates):
1 Li 0.0000 0.0000 0.0000  2 Au 2.90, 8 P 3.19
2 P 0.2500 0.7500 0.5000  4 Au 2.46
3 P 0.7500 0.2500 0.5000  4 Au 2.46
4 Au 0.3356 0.3356 0.0000  4 P 2.46
5 Au 0.6644 0.6644 0.0000  4 P 2.46